# 1
! Ba8SrIn2 | the Alexandria database | PBE | optimized geometry; values from VASP
&SYSTEM
  ibrav = 0, nat = 11, ntyp = 3
/
ATOMIC_SPECIES
Ba 137.33 Ba.upf
Sr 87.62 Sr.upf
In 114.82 In.upf
CELL_PARAMETERS angstrom
6.394 0.000 0.000
-0.024 8.917 0.000
-3.189 -4.452 10.027
ATOMIC_POSITIONS crystal
Ba 0.000 0.000 0.000
Ba 0.036 0.486 0.071
Ba 0.216 0.350 0.428
Ba 0.333 0.901 0.658
Ba 0.446 0.582 0.889
Ba 0.623 0.074 0.246
Ba 0.659 0.659 0.317
Ba 0.836 0.165 0.659
Sr 0.832 0.605 0.659
In 0.163 0.908 0.327
In 0.494 0.239 0.989
! formation enthalpy at 0 K: -102 meV per atom
! crystal system: triclinic

=====

# 2
! TmHfIr | the Alexandria database | PBE | optimized geometry; values from VASP
&SYSTEM
  ibrav = 0, nat = 6, ntyp = 3
/
ATOMIC_SPECIES
Tm 168.93 Tm.upf
Hf 178.49 Hf.upf
Ir 192.22 Ir.upf
CELL_PARAMETERS angstrom
5.488 0.000 0.000
0.000 4.698 0.000
-1.759 0.000 5.489
ATOMIC_POSITIONS crystal
Tm 0.195 0.250 0.410
Tm 0.805 0.750 0.590
Hf 0.342 0.750 0.035
Hf 0.658 0.250 0.965
Ir 0.123 0.250 0.881
Ir 0.877 0.750 0.119
! formation enthalpy at 0 K: -597 meV per atom
! crystal system: monoclinic
! polymorph energy (0 for the lowest one): 167 meV per atom

=====

# 3
! ReSi2Se | the Alexandria database | PBE | optimized geometry; values from VASP
&SYSTEM
  ibrav = 0, nat = 4, ntyp = 3
/
ATOMIC_SPECIES
Re 186.21 Re.upf
Si 28.09 Si.upf
Se 78.96 Se.upf
CELL_PARAMETERS angstrom
-1.997 1.997 3.747
1.997 -1.997 3.747
1.997 1.997 -3.747
ATOMIC_POSITIONS crystal
Re 0.000 0.000 0.000
Si 0.250 0.750 0.500
Si 0.750 0.250 0.500
Se 0.500 0.500 0.000
! formation energy from raw total energies: 2.406 eV/f.u.
! crystal system: tetragonal

=====

# 4
! Co4Tc5 | the Alexandria database | PBE | optimized geometry; values from VASP
&SYSTEM
  ibrav = 0, nat = 9, ntyp = 2
/
ATOMIC_SPECIES
Co 58.93 Co.upf
Tc 98.00 Tc.upf
CELL_PARAMETERS angstrom
-3.935 3.935 1.863
3.935 -3.935 1.863
3.935 3.935 -1.863
ATOMIC_POSITIONS crystal
Co 0.000 0.342 0.342
Co 0.000 0.658 0.658
Co 0.342 0.000 0.342
Co 0.658 0.000 0.658
Tc 0.000 0.000 0.000
Tc 0.329 0.329 0.658
Tc 0.329 0.671 0.000
Tc 0.671 0.329 0.000
Tc 0.671 0.671 0.342
! formation enthalpy at 0 K: 74 meV per atom
! crystal system: tetragonal
! polymorph energy (0 for the lowest one): 0 meV per atom